First-principles (GGA+U) data for a relaxed TlNiF3 crystal, as listed in the Alexandria database.

a b c (Å): 3.9168 3.9168 13.7576
angles (deg): 90.00 90.00 120.00
With the nearest neighbours (Å) after each atom.
Sites, in units of the cell vectors:
Tl 0.3333 0.6667 0.2500  3 F 2.26
Tl 0.6667 0.3333 0.7500  3 F 2.26
Ni 0.0000 0.0000 0.0000  6 F 2.35
Ni 0.0000 0.0000 0.5000  6 F 2.35
F 0.0000 0.0000 0.2500  3 Tl 2.26
F 0.0000 0.0000 0.7500  3 Tl 2.26
F 0.3333 0.6667 0.0466  3 Ni 2.35, 3 F 2.60
F 0.3333 0.6667 0.4534  3 Ni 2.35, 3 F 2.60
F 0.6667 0.3333 0.5466  3 Ni 2.35, 3 F 2.60
F 0.6667 0.3333 0.9534  3 Ni 2.35, 3 F 2.60

Results
E above lowest polymorph in meV per atom: 615
Raw total energy in eV/atom: -3.52
Spin magnetization in μB per cell: 3.86